VReS2: relaxed, PBE-GGA.

Summary:
* formation energy from raw total energies: -0.05 eV/atom
* E: -7.5102 eV per atom
* excess energy over the best structure of this formula in the dataset: 0.86 eV per formula unit

a = 4.1741 Å, b = 4.1741 Å, c = 4.1741 Å
α = 60.00°, β = 60.00°, γ = 60.00°
Last column: nearest neighbours and their distance in Å.
Positions (direct):
S (0.2500, 0.2500, 0.2500)  4 Re 2.56, 4 V 2.56
S (0.7500, 0.7500, 0.7500)  4 Re 2.56, 4 V 2.56
Re (0.5000, 0.5000, 0.5000)  8 S 2.56
V (0.0000, 0.0000, 0.0000)  8 S 2.56

***

Be2AsAu: relaxed, PBE-GGA.

Summary:
* E: -3.8897 eV per atom
* E_form: -45 meV/atom

a = 3.7293 Å, b = 3.6398 Å, c = 5.1224 Å
α = 111.07°, β = 90.00°, γ = 90.00°
Last column: nearest neighbours and their distance in Å.
Positions (direct):
Au (0.5000, 0.7205, 0.8204)  4 Be 2.38-2.39
Be (0.0000, 0.8784, 0.1320)  2 As 2.23-2.24, 2 Au 2.39
Be (0.5000, 0.3856, 0.1439)  2 As 2.24, 2 Au 2.38-2.39
As (0.0000, 0.5155, 0.4037)  4 Be 2.23-2.24

***

ZnRe2Ru: relaxed, PBE-GGA.

Summary:
* E: -8.7171 eV per atom
* E_form: 144 meV/atom

a = 5.1290 Å, b = 5.1290 Å, c = 5.1290 Å
α = 145.03°, β = 131.07°, γ = 61.54°
Last column: nearest neighbours and their distance in Å.
Positions (direct):
Ru (0.7500, 0.2500, 0.5000)  4 Zn 2.62, 4 Re 2.70
Zn (0.2500, 0.7500, 0.5000)  4 Ru 2.62, 4 Re 2.67
Re (0.0020, 0.0020, 0.0000)  4 Re 2.62, 2 Zn 2.67, 2 Ru 2.70
Re (0.4980, 0.4980, 0.0000)  4 Re 2.62, 2 Zn 2.67, 2 Ru 2.70

***

ZrTaCoSi2: relaxed, PBE-GGA.

Summary:
* formation energy from raw total energies: 0.21 eV/atom
* E: -7.4609 eV per atom

a = 4.2989 Å, b = 4.6528 Å, c = 4.2989 Å
α = 90.00°, β = 90.00°, γ = 90.00°
Last column: nearest neighbours and their distance in Å.
Positions (direct):
Zr (0.5000, 0.5000, 0.5000)  4 Ta 3.04, 8 Si 3.17
Si (0.5000, 0.0000, 0.0000)  2 Co 2.15
Si (0.0000, 0.0000, 0.5000)  2 Co 2.15
Ta (0.0000, 0.5000, 0.0000)  2 Co 2.33
Co (0.0000, 0.0000, 0.0000)  4 Si 2.15, 2 Ta 2.33

***

SiPdN2F: relaxed, PBE-GGA.

Summary:
* formation energy from raw total energies: -0.05 eV/atom
* E: -5.8770 eV per atom
* excess energy over the best structure of this formula in the dataset: 0.00 eV per formula unit

a = 3.6866 Å, b = 3.6866 Å, c = 3.5328 Å
α = 90.00°, β = 90.00°, γ = 90.00°
Last column: nearest neighbours and their distance in Å.
Positions (direct):
Si (0.0000, 0.0000, 0.0000)  2 F 1.77, 4 N 1.84
Pd (0.5000, 0.5000, 0.5000)  8 N 2.55, 4 F 2.61
N (0.0000, 0.5000, 0.0000)  2 Si 1.84
N (0.5000, 0.0000, 0.0000)  2 Si 1.84
F (0.0000, 0.0000, 0.5000)  2 Si 1.77

***

Ac5HSe5: relaxed, PBE-GGA.

Summary:
* E: -5.2831 eV per atom

a = 6.2622 Å, b = 7.6007 Å, c = 8.8035 Å
α = 106.26°, β = 90.00°, γ = 114.33°
Last column: nearest neighbours and their distance in Å.
Positions (direct):
Se (0.3225, 0.6449, 0.6719)  5 Ac 3.07-3.17
Se (0.0000, 0.0000, 0.5000)  4 Ac 3.06-3.07
Se (0.3300, 0.6601, 0.1610)  5 Ac 3.10-3.15
Se (0.6700, 0.3399, 0.8390)  5 Ac 3.10-3.15
Se (0.6775, 0.3551, 0.3281)  5 Ac 3.07-3.17
H (0.0000, 0.0000, 0.0000)  6 Ac 2.87-3.15
Ac (0.5000, 0.0000, 0.0000)  4 Se 3.10-3.17, 2 H 3.13
Ac (0.1507, 0.3015, 0.8373)  1 H 2.87, 5 Se 3.06-3.15
Ac (0.8493, 0.6985, 0.1627)  1 H 2.87, 5 Se 3.06-3.15
Ac (0.1667, 0.3335, 0.3372)  5 Se 3.07-3.14, 1 H 3.15
Ac (0.8333, 0.6665, 0.6628)  5 Se 3.07-3.14, 1 H 3.15

***

Magnetic moment per entry: 0.0 0.0 0.0 0.0 0.0 0.0 μB/cell